The following is a DFT calculation (GGA-PBE) of crystalline Li4HgPd at its relaxed geometry.

Energy of formation from the pure elements in eV/atom: -0.325
Total moment in μB/f.u.: 0.00
Excess energy over the best structure of this formula in the dataset in eV/f.u.: 0.04
Final energy in eV for the cell shown: -15.1

a = 2.877 Å, b = 4.388 Å, c = 7.598 Å
α = 90.00°, β = 90.14°, γ = 90.00°
Sites, in units of the cell vectors:
Li1 0.086 0.000 0.314
Li2 0.167 0.500 0.849
Li3 0.833 0.500 0.151
Li4 0.914 0.000 0.686
Hg1 0.500 0.500 0.500
Pd1 0.500 0.000 0.000

***

The following is a DFT calculation (GGA-PBE) of crystalline Li4Hg3Pd3 at its relaxed geometry.

Energy of formation from the pure elements in eV/atom: -0.291
Total moment in μB/f.u.: 0.00
Final energy in eV for the cell shown: -54.1

a = 7.805 Å, b = 7.805 Å, c = 7.805 Å
α = 109.47°, β = 109.47°, γ = 109.47°
Sites, in units of the cell vectors:
Li1 0.000 0.224 0.500
Li2 0.000 0.724 0.500
Li3 0.224 0.500 0.000
Li4 0.276 0.276 0.276
Li5 0.500 0.000 0.224
Li6 0.500 0.000 0.724
Li7 0.724 0.500 0.000
Li8 0.776 0.776 0.776
Hg1 0.125 0.875 0.250
Hg2 0.250 0.125 0.875
Hg3 0.375 0.625 0.750
Hg4 0.625 0.750 0.375
Hg5 0.750 0.375 0.625
Hg6 0.875 0.250 0.125
Pd1 0.125 0.750 0.875
Pd2 0.250 0.625 0.375
Pd3 0.375 0.250 0.625
Pd4 0.625 0.375 0.250
Pd5 0.750 0.875 0.125
Pd6 0.875 0.125 0.750

***

The following is a DFT calculation (GGA-PBE) of crystalline LiHg2Pd at its relaxed geometry.

Energy of formation from the pure elements in eV/atom: -0.185
Total moment in μB/f.u.: 0.00
Excess energy over the best structure of this formula in the dataset in eV/f.u.: 0.50
Final energy in eV for the cell shown: -8.5

a = 5.552 Å, b = 5.552 Å, c = 5.552 Å
α = 48.18°, β = 48.18°, γ = 48.18°
Sites, in units of the cell vectors:
Li1 0.000 0.000 0.000
Hg1 0.581 0.581 0.581
Hg2 0.782 0.782 0.782
Pd1 0.188 0.188 0.188

***

The following is a DFT calculation (GGA-PBE) of crystalline Li4Hg2Pd at its relaxed geometry.

Energy of formation from the pure elements in eV/atom: -0.265
Total moment in μB/f.u.: 0.00
Excess energy over the best structure of this formula in the dataset in eV/f.u.: 0.54
Final energy in eV for the cell shown: -30.6

a = 6.839 Å, b = 6.839 Å, c = 6.839 Å
α = 109.24°, β = 109.24°, γ = 109.94°
Sites, in units of the cell vectors:
Li1 0.146 0.037 0.746
Li2 0.149 0.541 0.754
Li3 0.291 0.399 0.254
Li4 0.459 0.213 0.609
Li5 0.601 0.854 0.891
Li6 0.604 0.851 0.391
Li7 0.787 0.396 0.246
Li8 0.963 0.709 0.109
Hg1 0.375 0.012 0.137
Hg2 0.762 0.625 0.637
Hg3 0.875 0.238 0.863
Hg4 0.988 0.125 0.363
Pd1 0.250 0.750 0.500
Pd2 0.500 0.500 0.000

***

The following is a DFT calculation (GGA-PBE) of crystalline Li2HgPd3 at its relaxed geometry.

Energy of formation from the pure elements in eV/atom: -0.270
Total moment in μB/f.u.: 0.00
Excess energy over the best structure of this formula in the dataset in eV/f.u.: 0.55
Final energy in eV for the cell shown: -42.7

a = 7.566 Å, b = 7.566 Å, c = 6.353 Å
α = 103.84°, β = 103.84°, γ = 32.16°
Sites, in units of the cell vectors:
Li1 0.025 0.025 0.350
Li2 0.271 0.271 0.849
Li3 0.729 0.729 0.151
Li4 0.975 0.975 0.650
Hg1 0.377 0.377 0.329
Hg2 0.623 0.623 0.671
Pd1 0.104 0.104 0.969
Pd2 0.194 0.194 0.413
Pd3 0.443 0.443 0.796
Pd4 0.557 0.557 0.204
Pd5 0.806 0.806 0.587
Pd6 0.896 0.896 0.031

***

The following is a DFT calculation (GGA-PBE) of crystalline Li4Hg2Pd at its relaxed geometry.

Energy of formation from the pure elements in eV/atom: -0.342
Total moment in μB/f.u.: 0.00
Excess energy over the best structure of this formula in the dataset in eV/f.u.: 0.00
Final energy in eV for the cell shown: -15.8

a = 7.137 Å, b = 7.137 Å, c = 7.137 Å
α = 37.69°, β = 37.69°, γ = 37.69°
Sites, in units of the cell vectors:
Li1 0.093 0.093 0.093
Li2 0.369 0.369 0.369
Li3 0.631 0.631 0.631
Li4 0.907 0.907 0.907
Hg1 0.231 0.231 0.231
Hg2 0.769 0.769 0.769
Pd1 0.500 0.500 0.500

***

The following is a DFT calculation (GGA-PBE) of crystalline Li2Pr2HgPd5 at its relaxed geometry.

Energy of formation from the pure elements in eV/atom: -0.569
Total moment in μB/f.u.: 0.00
Final energy in eV for the cell shown: -90.7

a = 9.612 Å, b = 9.612 Å, c = 3.930 Å
α = 90.00°, β = 90.00°, γ = 90.00°
Sites, in units of the cell vectors:
Li1 0.116 0.384 0.000
Li2 0.384 0.884 0.000
Li3 0.616 0.116 0.000
Li4 0.884 0.616 0.000
Pr1 0.182 0.682 0.000
Pr2 0.318 0.182 0.000
Pr3 0.682 0.818 0.000
Pr4 0.818 0.318 0.000
Hg1 0.000 0.000 0.000
Hg2 0.500 0.500 0.000
Pd1 0.000 0.500 0.500
Pd2 0.067 0.212 0.500
Pd3 0.212 0.933 0.500
Pd4 0.288 0.433 0.500
Pd5 0.433 0.712 0.500
Pd6 0.500 0.000 0.500
Pd7 0.567 0.288 0.500
Pd8 0.712 0.567 0.500
Pd9 0.788 0.067 0.500
Pd10 0.933 0.788 0.500

***

The following is a DFT calculation (GGA-PBE) of crystalline LiHgPdPt at its relaxed geometry.

Energy of formation from the pure elements in eV/atom: -0.280
Total moment in μB/f.u.: 0.00
Excess energy over the best structure of this formula in the dataset in eV/f.u.: 0.10
Final energy in eV for the cell shown: -14.6

a = 4.518 Å, b = 4.518 Å, c = 4.518 Å
α = 60.00°, β = 60.00°, γ = 60.00°
Sites, in units of the cell vectors:
Li1 0.000 0.000 0.000
Hg1 0.500 0.500 0.500
Pd1 0.250 0.250 0.250
Pt1 0.750 0.750 0.750

***

Please write out number 6 again, unchanged.
The following is a DFT calculation (GGA-PBE) of crystalline Li4Hg2Pd at its relaxed geometry.

Energy of formation from the pure elements in eV/atom: -0.342
Total moment in μB/f.u.: 0.00
Excess energy over the best structure of this formula in the dataset in eV/f.u.: 0.00
Final energy in eV for the cell shown: -15.8

a = 7.137 Å, b = 7.137 Å, c = 7.137 Å
α = 37.69°, β = 37.69°, γ = 37.69°
Sites, in units of the cell vectors:
Li1 0.093 0.093 0.093
Li2 0.369 0.369 0.369
Li3 0.631 0.631 0.631
Li4 0.907 0.907 0.907
Hg1 0.231 0.231 0.231
Hg2 0.769 0.769 0.769
Pd1 0.500 0.500 0.500

***

Q: Which formula does entry 5 have?
A: Li2HgPd3

***

Q: Which of these has the highest final energy?
A: LiHg2Pd